Entry 1:
CeY2Mg: relaxed, PBE-GGA.

POSCAR file:
```
CeY2Mg
1.0
-0.545 4.809 0.506
-1.969 0.255 -4.538
-4.511 -0.713 1.917
Y Mg Ce
2 1 1
Direct
0.000 0.000 0.500
0.000 0.500 0.000
0.500 0.000 0.000
0.500 0.500 0.500
```

Computed properties:
Energy relative to the lowest polymorph listed for this composition = 0.30 eV/f.u.
DFT total energy = -20.14 eV for the cell shown
Energy of formation from the pure elements = 0.32 eV/f.u.
Theoretical density = 4.76 Mg/m³



Entry 2:
CeY2Mg: relaxed, PBE-GGA.

POSCAR file:
```
CeY2Mg
1.0
5.531 -0.002 0.002
2.764 4.791 0.002
2.767 1.598 4.518
Ce Y Mg
1 2 1
Direct
0.750 0.750 0.750
0.000 0.000 0.000
0.250 0.250 0.250
0.500 0.500 0.500
```

Computed properties:
Energy relative to the lowest polymorph listed for this composition = 0.39 eV/f.u.
DFT total energy = -20.05 eV for the cell shown
Energy of formation from the pure elements = 0.40 eV/f.u.
Theoretical density = 4.75 Mg/m³



Entry 3:
CeYMgZr: relaxed, PBE-GGA.

POSCAR file:
```
CeYMgZr
1.0
-0.441 -0.532 -5.280
3.448 -3.060 -2.665
-1.607 -4.629 -2.085
Y Mg Zr Ce
1 1 1 1
Direct
0.750 0.750 0.750
0.000 0.000 0.000
0.500 0.500 0.500
0.250 0.250 0.250
```

Computed properties:
DFT total energy = -22.01 eV for the cell shown
Energy of formation from the pure elements = 0.53 eV/f.u.
Theoretical density = 5.36 Mg/m³



Entry 4:
Ce5Mg2Zn12: relaxed, PBE-GGA.

POSCAR file:
```
Ce5Mg2Zn12
1.0
6.531 0.031 0.395
-0.219 5.994 3.158
-0.167 -1.031 9.220
Ce Mg Zn
5 2 12
Direct
0.604 0.751 0.498
0.024 0.707 0.586
0.500 0.000 0.000
0.976 0.293 0.414
0.396 0.249 0.502
0.000 0.737 0.000
0.000 0.263 0.000
0.086 0.118 0.764
0.736 0.327 0.721
0.736 0.952 0.721
0.344 0.419 0.782
0.344 0.799 0.782
0.668 0.545 0.910
0.332 0.455 0.090
0.656 0.581 0.218
0.656 0.201 0.218
0.264 0.673 0.279
0.264 0.048 0.279
0.914 0.882 0.236
```

Computed properties:
DFT total energy = -51.64 eV for the cell shown
Energy of formation from the pure elements = -3.49 eV/f.u.
Theoretical density = 6.66 Mg/m³



Entry 5:
Ce2Mg3Zn3: relaxed, PBE-GGA.

POSCAR file:
```
Ce2Mg3Zn3
1.0
4.757 0.000 1.434
2.162 4.237 1.434
0.000 0.000 8.611
Ce Mg Zn
2 3 3
Direct
0.006 0.006 0.983
0.495 0.495 0.515
0.247 0.247 0.259
0.752 0.752 0.743
0.624 0.624 0.129
0.127 0.127 0.620
0.879 0.879 0.362
0.370 0.370 0.889
```

Computed properties:
DFT total energy = -22.11 eV for the cell shown
Energy of formation from the pure elements = -1.64 eV/f.u.
Theoretical density = 5.26 Mg/m³



Entry 6:
Ce2MgZn7: relaxed, PBE-GGA.

POSCAR file:
```
Ce2MgZn7
1.0
4.239 0.000 0.000
0.000 4.239 0.000
0.000 0.000 10.985
Ce Mg Zn
2 1 7
Direct
0.500 0.000 0.733
0.000 0.500 0.267
0.500 0.500 0.000
0.000 0.500 0.852
0.500 0.000 0.372
0.500 0.000 0.148
0.000 0.500 0.628
0.000 0.000 0.500
0.000 0.000 0.000
0.500 0.500 0.500
```

Computed properties:
DFT total energy = -24.60 eV for the cell shown
Energy of formation from the pure elements = -2.22 eV/f.u.
Theoretical density = 6.41 Mg/m³



Entry 7:
CeMg4Zn: relaxed, PBE-GGA.

POSCAR file:
```
CeMg4Zn
1.0
-2.186 3.848 0.319
-3.154 -1.161 -7.611
-6.025 -3.676 3.058
Ce Mg Zn
2 8 2
Direct
0.000 0.750 0.615
0.000 0.250 0.385
0.000 0.000 0.000
0.500 0.442 0.692
0.500 0.750 0.946
0.000 0.500 0.000
0.500 0.250 0.054
0.500 0.058 0.692
0.500 0.942 0.308
0.500 0.558 0.308
0.000 0.750 0.219
0.000 0.250 0.781
```

Computed properties:
DFT total energy = -27.76 eV for the cell shown
Energy of formation from the pure elements = -0.29 eV/f.u.
Theoretical density = 3.54 Mg/m³



Entry 8:
CeMg8Zn2: relaxed, PBE-GGA.

POSCAR file:
```
CeMg8Zn2
1.0
5.182 0.711 0.471
0.542 6.813 -3.065
0.500 0.143 7.472
Ce Mg Zn
1 8 2
Direct
0.500 0.000 0.000
0.908 0.078 0.324
0.908 0.324 0.078
0.299 0.407 0.407
0.500 0.263 0.737
0.500 0.737 0.263
0.701 0.593 0.593
0.092 0.676 0.922
0.092 0.922 0.676
0.000 0.691 0.309
0.000 0.309 0.691
```

Computed properties:
DFT total energy = -20.33 eV for the cell shown
Energy of formation from the pure elements = 0.91 eV/f.u.
Theoretical density = 2.97 Mg/m³



Question: Number 7 is which compound?
Answer: CeMg4Zn



Question: Which of these has the lowest DFT total energy?
Answer: Ce5Mg2Zn12



Question: Among the records above, which one has the highest theoretical density?
Answer: Ce5Mg2Zn12